A plane-wave DFT calculation with GGA-PBE was carried out for an optimized crystal structure of Ac3Pr4Nd5.

Summary:
Formation energy: 249 meV per atom
Volume: 469.06 Å³ per cell
Space group: C2/m (12)
Density of states at the Fermi level: 19.57 states/eV/f.u.
Energy relative to the lowest polymorph listed for this composition: 0.228 eV/atom
VASP energy: -0.3203 Ry/atom

Lattice parameters (Å, degrees): 8.8876 8.8876 9.7993 111.59 111.59 41.23
Element x y z (fractional)
Ac 0.0000 0.0000 0.0000
Ac 0.2929 0.2929 0.7861
Ac 0.7071 0.7071 0.2139
Pr 0.3075 0.3075 0.1462
Pr 0.4212 0.4212 0.5669
Pr 0.5788 0.5788 0.4331
Pr 0.6925 0.6925 0.8538
Nd 0.0657 0.0657 0.6805
Nd 0.1761 0.1761 0.3993
Nd 0.5000 0.5000 0.0000
Nd 0.8239 0.8239 0.6007
Nd 0.9343 0.9343 0.3195